# 1
Entry from Alexandria: As2PbAu at its PBEsol-relaxed geometry (meta-GGA SCAN).

abc: 7.4146 7.4270 3.0509
angles: 90.00 90.00 90.00
Closest atoms and distances in Å follow each position.
Space group Cmmm (No. 65)
One atom of each set of equivalent atoms:
As  0.2500  0.2500  0.0000 [4 per cell]  4 Pb 3.03, 4 Au 3.03, 2 As 3.05
Pb  0.0000  0.0000  0.5000 [2 per cell]  8 As 3.03, 2 Pb 3.05
Au  0.0000  0.5000  0.5000 [2 per cell]  8 As 3.03, 2 Au 3.05

## Properties
Crystal system ... orthorhombic
Calculated volume ... 21.00 Å³ per atom
Total DFT energy (no corrections) ... -367.63 eV/cell
D(E_F) ... 0.44 states/eV/atom
Formation enthalpy at 0 K ... 0.38 eV per atom

# 2
Entry from Alexandria: NiMoSCl2 at its PBEsol-relaxed geometry (meta-GGA SCAN).

abc: 4.7214 4.7214 4.5633
angles: 90.00 90.00 90.00
Closest atoms and distances in Å follow each position.
Space group P4/mmm (No. 123)
One atom of each set of equivalent atoms:
Ni  0.0000  0.0000  0.0000 [1 per cell]  8 Cl 3.28, 4 S 3.34
Mo  0.5000  0.5000  0.5000 [1 per cell]  2 S 2.28, 4 Cl 2.36
S  0.5000  0.5000  0.0000 [1 per cell]  2 Mo 2.28
Cl  0.0000  0.5000  0.5000 [2 per cell]  2 Mo 2.36

## Properties
Crystal system ... tetragonal
ΔE_f (raw) ... 0.235 eV per atom
Calculated volume ... 20.34 Å³ per atom
Total DFT energy (no corrections) ... -75.47 eV/cell
D(E_F) ... 0.84 states/eV/atom

# 3
Entry from Alexandria: BeSbMo at its PBEsol-relaxed geometry (meta-GGA SCAN).

abc: 3.2587 3.2587 8.5216
angles: 90.00 90.00 90.00
Closest atoms and distances in Å follow each position.
Space group I4mm (No. 107)
One atom of each set of equivalent atoms:
Be  0.0000  0.0000  0.0000 [2 per cell]  4 Mo 2.59, 5 Sb 2.71-2.78
Sb  0.0000  0.0000  0.3179 [2 per cell]  5 Be 2.71-2.78, 5 Mo 2.73-2.77
Mo  0.0000  0.0000  0.6378 [2 per cell]  4 Be 2.59, 5 Sb 2.73-2.77

## Properties
Crystal system ... tetragonal
ΔE_f (raw) ... 0.149 eV per atom
Calculated volume ... 15.08 Å³ per atom
Total DFT energy (no corrections) ... -152.11 eV/cell
D(E_F) ... 0.81 states/eV/atom